[1]
A geometry-optimized La2BBr structure, computed with PBE.

```
data_La2BBr
_cell_length_a 7.449
_cell_length_b 7.449
_cell_length_c 8.584
_cell_angle_alpha 90.00
_cell_angle_beta 90.00
_cell_angle_gamma 90.00
_space_group_name_H-M_alt 'I -4 2 d'
_space_group_IT_number 122
_space_group_name_Hall 'I -4 2bw'
loop_
_atom_site_label
_atom_site_type_symbol
_atom_site_fract_x
_atom_site_fract_y
_atom_site_fract_z
La1 La 0.185 0.250 0.125
B1 B 0.000 0.000 0.000
Br1 Br 0.000 0.000 0.500
```

The calculation puts the density at 5.1 g/cm3. The density of states at the Fermi level comes out at 0.76 states/eV/cell. Its energy above the most stable polymorph in this dataset is 259 meV/atom.


[2]
A geometry-optimized LaB2Br2 structure, computed with PBE.

```
data_LaB2Br2
_cell_length_a 7.904
_cell_length_b 7.904
_cell_length_c 3.446
_cell_angle_alpha 90.00
_cell_angle_beta 90.00
_cell_angle_gamma 90.00
_space_group_name_H-M_alt 'P 4/m b m'
_space_group_IT_number 127
_space_group_name_Hall '-P 4 2ab'
loop_
_atom_site_label
_atom_site_type_symbol
_atom_site_fract_x
_atom_site_fract_y
_atom_site_fract_z
La1 La 0.000 0.000 0.000
B1 B 0.229 0.271 0.500
Br1 Br 0.139 0.639 0.000
```

The calculation puts the density at 4.9 g/cm3. The density of states at the Fermi level comes out at 8.68 states/eV/cell. Its energy above the most stable polymorph in this dataset is 246 meV/atom.


[3]
A geometry-optimized LaB2Br2 structure, computed with PBE.

```
data_LaB2Br2
_cell_length_a 3.305
_cell_length_b 3.305
_cell_length_c 23.436
_cell_angle_alpha 90.00
_cell_angle_beta 90.00
_cell_angle_gamma 90.00
_space_group_name_H-M_alt 'I 4/m m m'
_space_group_IT_number 139
_space_group_name_Hall '-I 4 2'
loop_
_atom_site_label
_atom_site_type_symbol
_atom_site_fract_x
_atom_site_fract_y
_atom_site_fract_z
La1 La 0.000 0.000 0.000
B1 B 0.000 0.500 0.250
Br1 Br 0.000 0.000 0.417
```

The calculation puts the density at 4.2 g/cm3. The density of states at the Fermi level comes out at 4.62 states/eV/cell. Its energy above the most stable polymorph in this dataset is 0 meV/atom.


[4]
A geometry-optimized La2B3Br structure, computed with PBE.

```
data_La2B3Br
_cell_length_a 7.8422
_cell_length_b 7.8422
_cell_length_c 8.5679
_cell_angle_alpha 90.00
_cell_angle_beta 90.00
_cell_angle_gamma 120.00
_space_group_name_H-M_alt 'P -6 m 2'
_space_group_IT_number 187
_space_group_name_Hall 'P -6 2'
loop_
_atom_site_label
_atom_site_type_symbol
_atom_site_fract_x
_atom_site_fract_y
_atom_site_fract_z
La1 La 0.0000 0.0000 0.2310
La2 La 0.9995 0.4998 0.2169
B1 B 0.1391 0.2782 0.0000
B2 B 0.2626 0.5253 0.0000
B3 B 0.2775 0.1388 0.0000
B4 B 0.5252 0.2626 0.0000
Br1 Br 0.3333 0.6667 0.5000
Br2 Br 0.3390 0.1695 0.5000
```

The calculation puts the density at 5.7 g/cm3. The density of states at the Fermi level comes out at 9.72 states/eV/cell. The raw total energy comes out at -146.42 eV/cell.


Question: Which of these has the lowest density?
Answer: number 3


Question: Which of these has the lowest density?
Answer: number 3


What did the fourth record say?
A geometry-optimized La2B3Br structure, computed with PBE.

```
data_La2B3Br
_cell_length_a 7.8422
_cell_length_b 7.8422
_cell_length_c 8.5679
_cell_angle_alpha 90.00
_cell_angle_beta 90.00
_cell_angle_gamma 120.00
_space_group_name_H-M_alt 'P -6 m 2'
_space_group_IT_number 187
_space_group_name_Hall 'P -6 2'
loop_
_atom_site_label
_atom_site_type_symbol
_atom_site_fract_x
_atom_site_fract_y
_atom_site_fract_z
La1 La 0.0000 0.0000 0.2310
La2 La 0.9995 0.4998 0.2169
B1 B 0.1391 0.2782 0.0000
B2 B 0.2626 0.5253 0.0000
B3 B 0.2775 0.1388 0.0000
B4 B 0.5252 0.2626 0.0000
Br1 Br 0.3333 0.6667 0.5000
Br2 Br 0.3390 0.1695 0.5000
```

The calculation puts the density at 5.7 g/cm3. The density of states at the Fermi level comes out at 9.72 states/eV/cell. The raw total energy comes out at -146.42 eV/cell.